An optimized crystal structure of ReNiP2, computed with PBE-GGA. Values from VASP.

Output
* space-group type: No. 6
* DFT formation energy: -258 meV/atom

```
&SYSTEM
  ibrav = 0, nat = 4, ntyp = 3
/
ATOMIC_SPECIES
Ni 58.69 Ni.upf
P 30.97 P.upf
Re 186.21 Re.upf
CELL_PARAMETERS angstrom
4.388 0.000 0.000
0.000 3.196 0.012
0.000 1.573 4.097
ATOMIC_POSITIONS angstrom
Ni 2.194 3.777 2.891
P 2.194 2.186 1.244
P 0.000 3.776 3.906
Re 0.000 2.183 2.231
```